1.
The following is a SCAN calculation of a PBEsol-optimized structure of Ba3BiIr2O9, from Alexandria via LeMat-Bulk.

As for the formation energy (no corrections): -1845 meV per atom. As for the crystal system: monoclinic.

It has space group C2/c (No. 15), with a = 5.948 Å, b = 10.201 Å, c = 14.809 Å, α = 90.00°, β = 92.36° and γ = 90.00°. Symmetry generates all atoms from Ba at (0.000, 0.008, 0.250), Ba at (0.010, 0.334, 0.594), Bi at (0.000, 0.000, 0.000), Ir at (0.017, 0.336, 0.166), O at (0.000, 0.495, 0.250), O at (0.041, 0.174, 0.095), O at (0.190, 0.406, 0.429), O at (0.228, 0.091, 0.898) and O at (0.238, 0.263, 0.262).



2.
The following is a SCAN calculation of a PBEsol-optimized structure of ScTi3Te, from Alexandria via LeMat-Bulk.

As for the formation energy (no corrections): 502 meV per atom. As for the crystal system: cubic.

It has space group Pm-3m (No. 221), with a = 4.930 Å, b = 4.930 Å, c = 4.930 Å, α = 90.00°, β = 90.00° and γ = 90.00°. Symmetry generates all atoms from Sc at (0.000, 0.000, 0.000), Ti at (0.000, 0.500, 0.500) and Te at (0.500, 0.500, 0.500).



3.
The following is a SCAN calculation of a PBEsol-optimized structure of CsTlTe2, from Alexandria via LeMat-Bulk.

As for the formation energy (no corrections): -604 meV per atom. As for the crystal system: tetragonal.

It has space group I-42d (No. 122), with a = 8.666 Å, b = 8.666 Å, c = 9.204 Å, α = 90.00°, β = 90.00° and γ = 90.00°. Symmetry generates all atoms from Cs at (0.000, 0.000, 0.000), Tl at (0.000, 0.000, 0.500) and Te at (0.167, 0.250, 0.625).



4.
The following is a SCAN calculation of a PBEsol-optimized structure of MgZn3, from Alexandria via LeMat-Bulk.

The formation energy from the elements comes out at -0.071 eV per atom. As for the crystal system: cubic.

It has space group Pm-3m (No. 221), with a = 3.956 Å, b = 3.956 Å, c = 3.956 Å, α = 90.00°, β = 90.00° and γ = 90.00°. Symmetry generates all atoms from Mg at (0.000, 0.000, 0.000) and Zn at (0.000, 0.500, 0.500).



These records have magnetization values of 0.00 0.06 0.00 0.00 μB/atom, in the order they appear.
These records have volume values of 14.96 23.97 43.21 15.48 Å³/atom, in the order they appear.